1.
Computed, not measured: a geometry-optimized Bi2Os structure at the GGA-PBE level of DFT.

Cell lengths 5.679, 5.679, 5.679 Å; angles 115.32, 106.63, 106.63 degrees
Positions (direct):
Os (0.000, 0.250, 0.250)
Os (0.000, 0.750, 0.750)
Bi (0.500, 0.835, 0.665)
Bi (0.170, 0.335, 0.835)
Bi (0.830, 0.665, 0.165)
Bi (0.500, 0.165, 0.335)

2.
Computed, not measured: a geometry-optimized Lu4InSiN2 structure at the GGA-PBE level of DFT.

Cell lengths 3.408, 3.408, 14.583 Å; angles 90.00, 90.00, 120.00 degrees
Positions (direct):
In (0.000, 0.000, 0.000)
N (0.333, 0.667, 0.262)
N (0.333, 0.667, 0.738)
Si (0.667, 0.333, 0.500)
Lu (0.667, 0.333, 0.174)
Lu (0.000, 0.000, 0.353)
Lu (0.667, 0.333, 0.826)
Lu (0.000, 0.000, 0.647)

3.
Computed, not measured: a geometry-optimized ZrAlNO structure at the GGA-PBE level of DFT.

Cell lengths 3.288, 4.690, 6.354 Å; angles 90.00, 90.00, 90.00 degrees
Positions (direct):
Al (0.500, 0.491, 0.836)
Al (0.500, 0.991, 0.164)
N (0.000, 0.933, 0.291)
N (0.000, 0.433, 0.709)
Zr (0.000, 0.951, 0.642)
Zr (0.000, 0.451, 0.358)
O (0.500, 0.879, 0.891)
O (0.500, 0.379, 0.109)

Number 1: VASP energy -35.41 eV for the cell shown. Number 2: VASP energy -51.81 eV for the cell shown. Number 3: VASP energy -65.37 eV for the cell shown.